(1)
The following is a GGA-PBE calculation of H6Pt4Pb after structural relaxation, from the Alexandria database.

a = 5.947 Å, b = 5.947 Å, c = 8.723 Å
α = 43.50°, β = 43.50°, γ = 75.23°
Fractional coordinates of all 11 atoms:
Pt (0.808, 0.808, 0.710)
Pt (0.150, 0.562, 0.355)
Pt (0.334, 0.334, 0.902)
Pt (0.562, 0.150, 0.355)
H (0.092, 0.580, 0.873)
H (0.100, 0.100, 0.599)
H (0.032, 0.651, 0.549)
H (0.384, 0.384, 0.064)
H (0.580, 0.092, 0.873)
H (0.652, 0.032, 0.549)
Pb (0.806, 0.806, 0.171)

* raw total energy: -4.324 eV per atom
* space-group type: No. 8
* crystal system: monoclinic


(2)
The following is a GGA-PBE calculation of Na3Er3PbO8 after structural relaxation, from the Alexandria database.

a = 6.780 Å, b = 6.781 Å, c = 6.842 Å
α = 119.71°, β = 90.00°, γ = 120.00°
Fractional coordinates of all 15 atoms:
O (0.769, 0.539, 0.294)
O (0.769, 0.024, 0.294)
O (0.734, 0.468, 0.701)
O (0.231, 0.461, 0.706)
O (0.231, 0.976, 0.706)
O (0.745, 0.976, 0.706)
O (0.255, 0.024, 0.294)
O (0.266, 0.532, 0.299)
Er (0.500, 0.000, 0.500)
Er (0.000, 0.500, 0.500)
Er (0.500, 0.500, 0.500)
Na (0.000, 0.500, 0.000)
Na (0.500, 0.500, 0.000)
Na (0.000, 0.000, 0.000)
Pb (0.000, 0.000, 0.500)

* raw total energy: -6.502 eV per atom
* space-group type: No. 166
* crystal system: trigonal


(3)
The following is a GGA-PBE calculation of ReNi2Os after structural relaxation, from the Alexandria database.

a = 2.627 Å, b = 3.773 Å, c = 5.171 Å
α = 90.00°, β = 90.00°, γ = 90.00°
Fractional coordinates of all 4 atoms:
Os (0.500, 0.500, 0.250)
Re (0.500, 0.500, 0.750)
Ni (0.000, 0.000, 0.501)
Ni (0.000, 0.000, 0.999)

* calculated formation energy: 150 meV per atom
* relative energy among the computed polymorphs: 141 meV/atom
* space-group type: No. 47
* crystal system: orthorhombic


- Number 2 is which compound?
  Na3Er3PbO8


- What is the formula in the third record?
  ReNi2Os